Entry 1:
Density functional theory data (GGA-PBE) for a relaxed structure of CeYOs.

Lattice parameters (Å, degrees): 7.154 7.154 7.154 152.72 152.72 38.96
Fractional positions:
Ce1 0.000 0.000 0.000
Y1 0.255 0.255 0.000
Os1 0.626 0.626 0.000

Computed properties:
The total DFT energy (no corrections) comes out at -24.0 eV/cell. As for the spin magnetization: 0.7 μB per formula unit.

Entry 2:
Density functional theory data (GGA-PBE) for a relaxed structure of RbTi2Os.

Lattice parameters (Å, degrees): 8.540 8.540 8.540 138.24 138.24 60.53
Fractional positions:
Rb1 0.375 0.625 0.750
Rb2 0.625 0.375 0.250
Ti1 0.000 0.000 0.000
Ti2 0.000 0.000 0.500
Ti3 0.000 0.500 0.000
Ti4 0.500 0.000 0.500
Os1 0.125 0.875 0.250
Os2 0.875 0.125 0.750

Computed properties:
The total DFT energy (no corrections) comes out at -46.9 eV/cell. As for the spin magnetization: 1.2 μB per formula unit.

Entry 3:
Density functional theory data (GGA-PBE) for a relaxed structure of AcLaTbSn.

Lattice parameters (Å, degrees): 5.672 5.672 5.672 60.00 60.00 60.00
Fractional positions:
Ac1 0.000 0.000 0.000
La1 0.250 0.250 0.250
Tb1 0.750 0.750 0.750
Sn1 0.500 0.500 0.500

Computed properties:
The total DFT energy (no corrections) comes out at -18.5 eV/cell. As for the spin magnetization: 0.0 μB per formula unit.

Entry 4:
Density functional theory data (GGA-PBE) for a relaxed structure of Ac4InGaI2.

Lattice parameters (Å, degrees): 8.304 4.759 8.431 90.00 109.04 90.00
Fractional positions:
Ac1 0.211 0.000 0.228
Ac2 0.221 0.500 0.752
Ac3 0.779 0.500 0.248
Ac4 0.789 0.000 0.772
In1 0.000 0.000 0.500
Ga1 0.000 0.500 0.000
I1 0.500 0.000 0.000
I2 0.500 0.500 0.500

Computed properties:
Its formation energy without anion corrections is -5.6 eV/f.u. As for the spin magnetization: 0.0 μB per formula unit.

Entry 5:
Density functional theory data (GGA-PBE) for a relaxed structure of Pm5Sm2ErSc.

Lattice parameters (Å, degrees): 11.315 11.315 10.174 90.00 90.00 152.47
Fractional positions:
Pm1 0.000 0.000 0.000
Pm2 0.000 0.000 0.500
Pm3 0.127 0.873 0.750
Pm4 0.222 0.778 0.062
Pm5 0.222 0.778 0.437
Pm6 0.500 0.500 0.250
Pm7 0.500 0.500 0.750
Pm8 0.778 0.222 0.562
Pm9 0.778 0.222 0.937
Pm10 0.873 0.127 0.250
Sm1 0.384 0.616 0.001
Sm2 0.384 0.616 0.499
Sm3 0.616 0.384 0.501
Sm4 0.616 0.384 0.999
Er1 0.102 0.898 0.250
Er2 0.898 0.102 0.750
Sc1 0.288 0.712 0.749
Sc2 0.712 0.288 0.249

Computed properties:
The total DFT energy (no corrections) comes out at -86.0 eV/cell. As for the spin magnetization: 0.0 μB per formula unit.

Entry 6:
Density functional theory data (GGA-PBE) for a relaxed structure of ZnMoH2S.

Lattice parameters (Å, degrees): 3.561 3.561 4.948 90.00 90.00 90.00
Fractional positions:
Zn1 0.000 0.000 0.000
Mo1 0.500 0.500 0.000
H1 0.000 0.500 0.500
H2 0.500 0.000 0.500
S1 0.500 0.500 0.500

Computed properties:
The total DFT energy (no corrections) comes out at -19.4 eV/cell. As for the spin magnetization: 1.0 μB per formula unit.

Entry 7:
Density functional theory data (GGA-PBE) for a relaxed structure of MgSc3I.

Lattice parameters (Å, degrees): 5.294 5.294 5.294 90.00 90.00 90.00
Fractional positions:
Mg1 0.000 0.000 0.000
Sc1 0.000 0.500 0.500
Sc2 0.500 0.000 0.500
Sc3 0.500 0.500 0.000
I1 0.500 0.500 0.500

Computed properties:
Its formation energy without anion corrections is 1.6 eV/f.u. As for the spin magnetization: 0.0 μB per formula unit.

Entry 8:
Density functional theory data (GGA-PBE) for a relaxed structure of Ho4Tl5Ga2.

Lattice parameters (Å, degrees): 8.109 3.658 9.557 90.00 92.49 90.00
Fractional positions:
Ho1 0.205 0.000 0.354
Ho2 0.229 0.000 0.907
Ho3 0.771 0.000 0.093
Ho4 0.795 0.000 0.646
Tl1 0.140 0.500 0.632
Tl2 0.452 0.500 0.161
Tl3 0.500 0.500 0.500
Tl4 0.548 0.500 0.839
Tl5 0.860 0.500 0.368
Ga1 0.082 0.500 0.121
Ga2 0.918 0.500 0.879

Computed properties:
The total DFT energy (no corrections) comes out at -39.9 eV/cell. As for the spin magnetization: 0.0 μB per formula unit.

Entry 9:
Density functional theory data (GGA-PBE) for a relaxed structure of Sc2BeTe.

Lattice parameters (Å, degrees): 4.859 4.859 4.859 60.00 60.00 60.00
Fractional positions:
Sc1 0.250 0.250 0.250
Sc2 0.750 0.750 0.750
Be1 0.000 0.000 0.000
Te1 0.500 0.500 0.500

Computed properties:
Its formation energy without anion corrections is -0.7 eV/f.u. As for the spin magnetization: 0.0 μB per formula unit.

Entry 10:
Density functional theory data (GGA-PBE) for a relaxed structure of SnHPd2Au.

Lattice parameters (Å, degrees): 4.020 4.020 4.593 90.00 90.00 90.00
Fractional positions:
Sn1 0.000 0.000 0.000
H1 0.000 0.000 0.500
Pd1 0.000 0.500 0.500
Pd2 0.500 0.000 0.500
Au1 0.500 0.500 0.000

Computed properties:
The total DFT energy (no corrections) comes out at -21.5 eV/cell. As for the spin magnetization: 0.0 μB per formula unit.

Entry 11:
Density functional theory data (GGA-PBE) for a relaxed structure of AcThOsI.

Lattice parameters (Å, degrees): 8.868 8.868 8.868 27.85 27.85 27.85
Fractional positions:
Ac1 0.000 0.000 0.000
Th1 0.213 0.213 0.213
Os1 0.598 0.598 0.598
I1 0.778 0.778 0.778

Computed properties:
Its formation energy without anion corrections is -2.7 eV/f.u. As for the spin magnetization: 0.0 μB per formula unit.

Entry 12:
Density functional theory data (GGA-PBE) for a relaxed structure of Rb3Na7Pb2.

Lattice parameters (Å, degrees): 15.444 15.444 6.104 90.00 90.00 157.15
Fractional positions:
Rb1 0.000 0.000 0.000
Rb2 0.178 0.822 0.000
Rb3 0.822 0.178 0.000
Na1 0.091 0.909 0.500
Na2 0.292 0.708 0.500
Na3 0.409 0.591 0.000
Na4 0.500 0.500 0.500
Na5 0.591 0.409 0.000
Na6 0.708 0.292 0.500
Na7 0.909 0.091 0.500
Pb1 0.395 0.605 0.500
Pb2 0.605 0.395 0.500

Computed properties:
The total DFT energy (no corrections) comes out at -20.1 eV/cell. As for the spin magnetization: 0.0 μB per formula unit.

Entry 13:
Density functional theory data (GGA-PBE) for a relaxed structure of LaCd2BMo.

Lattice parameters (Å, degrees): 5.357 5.357 5.047 90.00 90.00 90.00
Fractional positions:
La1 0.000 0.000 0.000
Cd1 0.000 0.500 0.500
Cd2 0.500 0.000 0.500
B1 0.500 0.500 0.000
Mo1 0.000 0.000 0.500

Computed properties:
The total DFT energy (no corrections) comes out at -17.4 eV/cell. As for the spin magnetization: 0.0 μB per formula unit.

Entry 14:
Density functional theory data (GGA-PBE) for a relaxed structure of Li2MgSi.

Lattice parameters (Å, degrees): 3.973 3.973 4.235 90.00 90.00 90.00
Fractional positions:
Li1 0.000 0.500 0.000
Li2 0.500 0.000 0.000
Mg1 0.000 0.000 0.500
Si1 0.500 0.500 0.500

Computed properties:
Its formation energy without anion corrections is -0.5 eV/f.u. As for the spin magnetization: 0.0 μB per formula unit.

Entry 15:
Density functional theory data (GGA-PBE) for a relaxed structure of Ce2MgSc.

Lattice parameters (Å, degrees): 5.396 5.396 5.396 60.00 60.00 60.00
Fractional positions:
Ce1 0.250 0.250 0.250
Ce2 0.750 0.750 0.750
Mg1 0.000 0.000 0.000
Sc1 0.500 0.500 0.500

Computed properties:
The total DFT energy (no corrections) comes out at -19.2 eV/cell. As for the spin magnetization: 2.2 μB per formula unit.

Entry 16:
Density functional theory data (GGA-PBE) for a relaxed structure of RbAlNi3.

Lattice parameters (Å, degrees): 4.647 4.647 4.647 90.00 90.00 90.00
Fractional positions:
Rb1 0.000 0.000 0.000
Al1 0.500 0.500 0.500
Ni1 0.000 0.000 0.500
Ni2 0.000 0.500 0.000
Ni3 0.500 0.000 0.000

Computed properties:
The total DFT energy (no corrections) comes out at -11.9 eV/cell. As for the spin magnetization: 0.0 μB per formula unit.

Entry 17:
Density functional theory data (GGA-PBE) for a relaxed structure of Pu2Zr4Pa3.

Lattice parameters (Å, degrees): 6.171 6.178 12.641 90.48 90.34 117.88
Fractional positions:
Pu1 0.018 0.019 0.194
Pu2 0.297 0.301 0.394
Pu3 0.703 0.699 0.606
Pu4 0.982 0.981 0.806
Zr1 0.022 0.523 0.759
Zr2 0.254 0.747 0.001
Zr3 0.272 0.730 0.501
Zr4 0.476 0.977 0.243
Zr5 0.524 0.023 0.757
Zr6 0.728 0.270 0.499
Zr7 0.746 0.253 0.999
Zr8 0.978 0.477 0.241
Pa1 0.165 0.167 0.595
Pa2 0.247 0.248 0.999
Pa3 0.485 0.486 0.797
Pa4 0.515 0.514 0.203
Pa5 0.753 0.752 0.001
Pa6 0.835 0.833 0.405

Computed properties:
The total DFT energy (no corrections) comes out at -180.0 eV/cell. As for the spin magnetization: 0.5 μB per formula unit.

Entry 18:
Density functional theory data (GGA-PBE) for a relaxed structure of TaTcAu.

Lattice parameters (Å, degrees): 4.384 4.384 4.384 60.00 60.00 60.00
Fractional positions:
Ta1 0.000 0.000 0.000
Tc1 0.750 0.750 0.750
Au1 0.500 0.500 0.500

Computed properties:
The total DFT energy (no corrections) comes out at -23.5 eV/cell. As for the spin magnetization: 0.0 μB per formula unit.

Entry 19:
Density functional theory data (GGA-PBE) for a relaxed structure of Be2Tc2Mo.

Lattice parameters (Å, degrees): 6.245 6.245 3.069 90.00 90.00 90.00
Fractional positions:
Be1 0.120 0.380 0.000
Be2 0.380 0.880 0.000
Be3 0.620 0.120 0.000
Be4 0.880 0.620 0.000
Tc1 0.174 0.674 0.500
Tc2 0.326 0.174 0.500
Tc3 0.674 0.826 0.500
Tc4 0.826 0.326 0.500
Mo1 0.000 0.000 0.000
Mo2 0.500 0.500 0.000

Computed properties:
The total DFT energy (no corrections) comes out at -80.3 eV/cell. As for the spin magnetization: 0.0 μB per formula unit.

Entry 20:
Density functional theory data (GGA-PBE) for a relaxed structure of Li4CaCd2Hg.

Lattice parameters (Å, degrees): 8.469 8.469 8.469 33.57 33.57 33.57
Fractional positions:
Li1 0.111 0.111 0.111
Li2 0.363 0.363 0.363
Li3 0.637 0.637 0.637
Li4 0.889 0.889 0.889
Ca1 0.500 0.500 0.500
Cd1 0.244 0.244 0.244
Cd2 0.756 0.756 0.756
Hg1 0.000 0.000 0.000

Computed properties:
The total DFT energy (no corrections) comes out at -13.7 eV/cell. As for the spin magnetization: 0.0 μB per formula unit.

Entry 21:
Density functional theory data (GGA-PBE) for a relaxed structure of KOsBr3.

Lattice parameters (Å, degrees): 5.192 5.192 5.192 90.00 90.00 90.00
Fractional positions:
K1 0.000 0.000 0.000
Os1 0.500 0.500 0.500
Br1 0.000 0.500 0.500
Br2 0.500 0.000 0.500
Br3 0.500 0.500 0.000

Computed properties:
Its formation energy without anion corrections is -1.1 eV/f.u. As for the spin magnetization: 1.0 μB per formula unit.

Entry 22:
Density functional theory data (GGA-PBE) for a relaxed structure of ZnCrAu6.

Lattice parameters (Å, degrees): 4.102 4.102 8.267 90.00 90.00 90.00
Fractional positions:
Zn1 0.000 0.000 0.000
Cr1 0.000 0.000 0.500
Au1 0.000 0.500 0.249
Au2 0.000 0.500 0.751
Au3 0.500 0.000 0.249
Au4 0.500 0.000 0.751
Au5 0.500 0.500 0.000
Au6 0.500 0.500 0.500

Computed properties:
The total DFT energy (no corrections) comes out at -30.8 eV/cell. As for the spin magnetization: 4.4 μB per formula unit.

Entry 23:
Density functional theory data (GGA-PBE) for a relaxed structure of Nd2GdF.

Lattice parameters (Å, degrees): 9.005 9.005 9.005 24.39 24.39 24.39
Fractional positions:
Nd1 0.223 0.223 0.223
Nd2 0.777 0.777 0.777
Gd1 0.000 0.000 0.000
F1 0.500 0.500 0.500

Computed properties:
Its formation energy without anion corrections is -4.5 eV/f.u. As for the spin magnetization: 7.5 μB per formula unit.

Entry 24:
Density functional theory data (GGA-PBE) for a relaxed structure of K3Zr3CuTe8.

Lattice parameters (Å, degrees): 8.280 8.280 9.541 113.84 113.84 62.29
Fractional positions:
K1 0.000 0.000 0.000
K2 0.000 0.500 0.000
K3 0.500 0.000 0.000
Zr1 0.000 0.500 0.500
Zr2 0.500 0.000 0.500
Zr3 0.500 0.500 0.500
Cu1 0.000 0.000 0.500
Te1 0.211 0.211 0.680
Te2 0.239 0.719 0.699
Te3 0.265 0.265 0.296
Te4 0.281 0.761 0.301
Te5 0.719 0.239 0.699
Te6 0.735 0.735 0.704
Te7 0.761 0.281 0.301
Te8 0.789 0.789 0.320

Computed properties:
Its formation energy without anion corrections is -12.0 eV/f.u. As for the spin magnetization: 0.0 μB per formula unit.

Entry 25:
Density functional theory data (GGA-PBE) for a relaxed structure of LiTbSc.

Lattice parameters (Å, degrees): 3.355 3.355 8.066 90.00 90.00 120.00
Fractional positions:
Li1 0.000 0.000 0.000
Tb1 0.667 0.333 0.347
Sc1 0.333 0.667 0.679

Computed properties:
The total DFT energy (no corrections) comes out at -12.5 eV/cell. As for the spin magnetization: 0.0 μB per formula unit.

Entry 26:
Density functional theory data (GGA-PBE) for a relaxed structure of TiGeI2N.

Lattice parameters (Å, degrees): 5.868 5.868 3.587 90.00 90.00 90.00
Fractional positions:
Ti1 0.000 0.000 0.000
Ge1 0.500 0.500 0.500
I1 0.000 0.500 0.500
I2 0.500 0.000 0.500
N1 0.500 0.500 0.000

Computed properties:
Its formation energy without anion corrections is 3.3 eV/f.u. As for the spin magnetization: 2.5 μB per formula unit.